(1)
# Cs3Pm3TaO8

Cs3Pm3TaO8 after structural relaxation (PBE, Alexandria).

abc: 7.071 7.071 8.222
angles: 115.52 90.00 120.01
Atoms (fractional coordinates):
Cs  0.000  0.000  0.000
Cs  0.000  0.500  0.000
Cs  0.500  0.500  0.000
Pm  0.500  0.000  0.500
Pm  0.500  0.500  0.500
Pm  0.000  0.500  0.500
Ta  0.000  0.000  0.500
O  0.279  0.558  0.338
O  0.721  0.442  0.662
O  0.807  0.614  0.352
O  0.193  0.386  0.648
O  0.807  0.045  0.352
O  0.193  0.955  0.648
O  0.237  0.045  0.352
O  0.763  0.955  0.648

Results
ΔE_f (raw) (eV per atom): -2.584
Magnetization (μB/atom): 0.000
Theoretical density (g/cm³): 6.14
Symmetry: No. 12

(2)
# Ac3SnGe3

Ac3SnGe3 after structural relaxation (PBE, Alexandria).

abc: 6.432 9.309 9.309
angles: 120.00 90.00 90.00
Atoms (fractional coordinates):
Ac  0.750  0.694  0.618
Ac  0.750  0.382  0.075
Ac  0.750  0.925  0.306
Ac  0.250  0.306  0.382
Ac  0.250  0.618  0.925
Ac  0.250  0.075  0.694
Sn  0.250  0.667  0.333
Sn  0.750  0.333  0.667
Ge  0.250  0.708  0.642
Ge  0.250  0.358  0.066
Ge  0.250  0.934  0.292
Ge  0.750  0.292  0.358
Ge  0.750  0.642  0.934
Ge  0.750  0.066  0.708

Results
Magnetization (μB/atom): 0.000
Formation enthalpy at 0 K (eV/atom): -0.57
Theoretical density (g/cm³): 7.00
Symmetry: No. 176

(3)
# DyZn3Ag10

DyZn3Ag10 after structural relaxation (PBE, Alexandria).

abc: 9.180 9.180 9.180
angles: 60.00 60.00 60.00
Atoms (fractional coordinates):
Dy  0.250  0.250  0.250
Dy  0.750  0.750  0.750
Zn  0.731  0.731  0.269
Zn  0.731  0.269  0.731
Zn  0.269  0.731  0.731
Zn  0.269  0.269  0.731
Zn  0.731  0.269  0.269
Zn  0.269  0.731  0.269
Ag  0.000  0.000  0.347
Ag  0.000  0.347  0.000
Ag  0.347  0.000  0.000
Ag  0.653  0.347  0.000
Ag  0.381  0.381  0.381
Ag  0.142  0.619  0.619
Ag  0.381  0.858  0.381
Ag  0.653  0.000  0.347
Ag  0.381  0.381  0.858
Ag  0.858  0.381  0.381
Ag  0.619  0.619  0.142
Ag  0.000  0.000  0.653
Ag  0.347  0.653  0.000
Ag  0.000  0.653  0.347
Ag  0.000  0.347  0.653
Ag  0.653  0.000  0.000
Ag  0.619  0.619  0.619
Ag  0.000  0.653  0.000
Ag  0.619  0.142  0.619
Ag  0.347  0.000  0.653

Results
Magnetization (μB/atom): 0.000
Formation enthalpy at 0 K (eV/atom): 0.06
Theoretical density (g/cm³): 8.73
Symmetry: No. 225

(4)
# LaTbPt

LaTbPt after structural relaxation (PBE, Alexandria).

abc: 6.094 7.086 8.515
angles: 92.89 90.00 90.00
Atoms (fractional coordinates):
La  0.352  0.195  0.882
La  0.648  0.805  0.118
La  0.852  0.305  0.618
La  0.148  0.695  0.382
Tb  0.882  0.301  0.136
Tb  0.618  0.801  0.636
Tb  0.118  0.699  0.864
Tb  0.382  0.199  0.364
Pt  0.333  0.461  0.633
Pt  0.667  0.539  0.367
Pt  0.167  0.961  0.133
Pt  0.833  0.039  0.867

Results
Energy above the most stable polymorph in this dataset (meV per atom): 94
Magnetization (μB/atom): 0.000
Formation enthalpy at 0 K (eV/atom): -0.76
Theoretical density (g/cm³): 8.91
Symmetry: No. 14

(5)
# KAl3Co

KAl3Co after structural relaxation (PBE, Alexandria).

abc: 5.615 5.615 5.615
angles: 90.00 90.00 90.00
Atoms (fractional coordinates):
K  0.000  0.000  0.000
Co  0.500  0.500  0.500
Al  0.000  0.500  0.000
Al  0.000  0.000  0.500
Al  0.500  0.000  0.000

Results
Energy above the most stable polymorph in this dataset (meV per atom): 2165
Magnetization (μB/atom): 0.435
Formation enthalpy at 0 K (eV/atom): 2.12
Theoretical density (g/cm³): 1.68
Symmetry: No. 221

(6)
# AcPaBiPb

AcPaBiPb after structural relaxation (PBE, Alexandria).

abc: 5.656 5.656 5.656
angles: 60.00 60.00 60.00
Atoms (fractional coordinates):
Pb  0.500  0.500  0.500
Ac  0.250  0.250  0.250
Pa  0.750  0.750  0.750
Bi  0.000  0.000  0.000

Results
Magnetization (μB/atom): 0.450
Formation enthalpy at 0 K (eV/atom): -0.14
Theoretical density (g/cm³): 11.35
Symmetry: No. 216

(7)
# K3Tl2Sn9

K3Tl2Sn9 after structural relaxation (PBE, Alexandria).

abc: 5.366 10.006 10.006
angles: 63.96 74.45 74.45
Atoms (fractional coordinates):
K  0.000  0.000  0.000
K  0.692  0.308  0.308
K  0.308  0.692  0.692
Tl  0.500  0.302  0.698
Tl  0.500  0.698  0.302
Sn  0.000  0.500  0.500
Sn  0.677  0.963  0.683
Sn  0.323  0.037  0.317
Sn  0.677  0.683  0.963
Sn  0.323  0.317  0.037
Sn  0.857  0.870  0.415
Sn  0.143  0.130  0.585
Sn  0.857  0.415  0.870
Sn  0.143  0.585  0.130

Results
Magnetization (μB/atom): 0.000
Formation enthalpy at 0 K (eV/atom): -0.12
Theoretical density (g/cm³): 5.78
Symmetry: No. 71

(8)
# Be3AlRh4

Be3AlRh4 after structural relaxation (PBE, Alexandria).

abc: 4.018 5.721 8.035
angles: 90.00 90.00 90.00
Atoms (fractional coordinates):
Be  0.000  0.000  0.000
Be  0.000  0.000  0.500
Be  0.500  0.000  0.750
Be  0.500  0.000  0.250
Be  0.500  0.500  0.750
Be  0.500  0.500  0.250
Rh  0.500  0.759  0.000
Rh  0.500  0.759  0.500
Rh  0.500  0.241  0.000
Rh  0.500  0.241  0.500
Rh  0.000  0.759  0.750
Rh  0.000  0.759  0.250
Rh  0.000  0.241  0.250
Rh  0.000  0.241  0.750
Al  0.000  0.500  0.000
Al  0.000  0.500  0.500

Results
Magnetization (μB/atom): 0.000
Formation enthalpy at 0 K (eV/atom): -0.74
Theoretical density (g/cm³): 8.37
Symmetry: No. 123

(9)
# MoPbC3

MoPbC3 after structural relaxation (PBE, Alexandria).

abc: 4.262 4.262 4.262
angles: 90.00 90.00 90.00
Atoms (fractional coordinates):
Pb  0.000  0.000  0.000
Mo  0.500  0.500  0.500
C  0.000  0.500  0.000
C  0.000  0.000  0.500
C  0.500  0.000  0.000

Results
Energy above the most stable polymorph in this dataset (meV per atom): 2025
Magnetization (μB/atom): 0.000
Formation enthalpy at 0 K (eV/atom): 3.73
Theoretical density (g/cm³): 7.27
Symmetry: No. 221

(10)
# CdAgPbCl5

CdAgPbCl5 after structural relaxation (PBE, Alexandria).

abc: 7.368 7.368 10.099
angles: 104.91 104.91 109.17
Atoms (fractional coordinates):
Cd  0.000  0.000  0.500
Cd  0.000  0.000  0.000
Ag  0.686  0.314  0.250
Ag  0.314  0.686  0.750
Pb  0.323  0.677  0.250
Pb  0.677  0.323  0.750
Cl  0.081  0.919  0.250
Cl  0.919  0.081  0.750
Cl  0.892  0.321  0.085
Cl  0.108  0.679  0.915
Cl  0.679  0.108  0.415
Cl  0.321  0.892  0.585
Cl  0.698  0.648  0.431
Cl  0.302  0.352  0.569
Cl  0.352  0.302  0.069
Cl  0.648  0.698  0.931

Results
ΔE_f (raw) (eV per atom): -0.889
Magnetization (μB/atom): 0.000
Theoretical density (g/cm³): 4.33
Symmetry: No. 15

(11)
# Zn2HIF

Zn2HIF after structural relaxation (PBE, Alexandria).

abc: 4.412 4.946 4.412
angles: 90.00 90.00 90.00
Atoms (fractional coordinates):
I  0.500  0.500  0.500
H  0.000  0.500  0.000
Zn  0.000  0.000  0.500
Zn  0.500  0.000  0.000
F  0.000  0.000  0.000

Results
Raw total energy (eV per formula unit): -9.1
Magnetization (μB/atom): 0.198
Theoretical density (g/cm³): 4.79
Symmetry: No. 123

(12)
# LaPm2C

LaPm2C after structural relaxation (PBE, Alexandria).

abc: 3.658 5.385 11.736
angles: 90.00 90.00 90.00
Atoms (fractional coordinates):
La  0.245  0.750  0.250
La  0.755  0.250  0.750
Pm  0.254  0.750  0.602
Pm  0.746  0.250  0.398
Pm  0.254  0.750  0.898
Pm  0.746  0.250  0.102
C  0.754  0.749  0.750
C  0.246  0.251  0.250

Results
Energy above the most stable polymorph in this dataset (meV per atom): 44
Magnetization (μB/atom): 0.000
Formation enthalpy at 0 K (eV/atom): -0.02
Theoretical density (g/cm³): 6.33
Symmetry: No. 11